Entry 1:
DFT (PBE) results for a relaxed Ca2NiH crystal.

a = 6.8110 Å, b = 6.8110 Å, c = 6.8110 Å
α = 32.42°, β = 32.42°, γ = 32.42°
Fractional coordinates of all 4 atoms:
Ca 0.2462 0.2462 0.2462
Ca 0.7538 0.7538 0.7538
Ni 0.0000 0.0000 0.0000
H 0.5000 0.5000 0.5000

## Properties
- Crystal system: trigonal
- Energy: -3.347 eV/atom
- N(E_F): 2.2 states/eV per cell
- Magnetization: 0.000 μB per atom

Entry 2:
DFT (PBE) results for a relaxed Ac2LaPd crystal.

a = 10.2581 Å, b = 10.2581 Å, c = 10.2581 Å
α = 23.48°, β = 23.48°, γ = 23.48°
Fractional coordinates of all 4 atoms:
Ac 0.0000 0.0000 0.0000
Ac 0.2080 0.2080 0.2080
La 0.7708 0.7708 0.7708
Pd 0.6042 0.6042 0.6042

## Properties
- Crystal system: trigonal
- Energy: -4.882 eV/atom
- Formation energy: -0.298 eV/atom
- N(E_F): 5.1 states/eV per cell
- Magnetization: 0.000 μB per atom